# PBE with a Hubbard U KCoBrF2, optimized geometry
# VASP energy	-4.225	eV/atom
# mass density	3.664	g/cm3
data_KCoBrF2
_chemical_formula_sum 'K4 Co4 Br4 F8'
_symmetry_space_group_name_H-M 'C m c m'
_symmetry_Int_Tables_number 63
_symmetry_space_group_name_Hall '-C 2c 2'
_cell_length_a 3.9525
_cell_length_b 12.9820
_cell_length_c 7.6285
_cell_angle_alpha 90.00
_cell_angle_beta 90.00
_cell_angle_gamma 90.00
loop_
_atom_site_label
_atom_site_fract_x
_atom_site_fract_y
_atom_site_fract_z
_atom_site_occupancy
K1 0.0000 0.2287 0.2500 1
Co1 0.0000 0.5000 0.0000 1
Br1 0.0000 0.0341 0.7500 1
F1 0.0000 0.3564 0.5436 1